(1)
A geometry-optimized NaAlRu3 structure. Source: the Alexandria database, functional GGA-PBE.

Unit cell a=4.5458 b=4.5458 c=4.5458 alpha=90.00 beta=90.00 gamma=90.00
Fractional positions:
Na: 0.0000 0.0000 0.0000
Al: 0.5000 0.5000 0.5000
Ru: 0.0000 0.5000 0.5000
Ru: 0.5000 0.0000 0.5000
Ru: 0.5000 0.5000 0.0000

Energy = -27.10 eV/cell
ρ = 6.24 Mg/m³
Relative energy among the computed polymorphs = 0 meV per atom
E_form = 1.159 eV/atom

***

(2)
A geometry-optimized InSn4Pb4 structure. Source: the Alexandria database, functional GGA-PBE.

Unit cell a=7.9428 b=7.9428 c=7.9428 alpha=94.76 beta=94.76 gamma=146.53
Fractional positions:
In: 0.0000 0.0000 0.0000
Sn: 0.0000 0.3408 0.3408
Sn: 0.0000 0.6592 0.6592
Sn: 0.3408 0.0000 0.3408
Sn: 0.6592 0.0000 0.6592
Pb: 0.3343 0.3343 0.6687
Pb: 0.3343 0.6657 0.0000
Pb: 0.6657 0.3343 0.0000
Pb: 0.6657 0.6657 0.3313

Energy = -33.24 eV/cell
ρ = 8.90 Mg/m³
E_form = 0.038 eV/atom

***

Question: What is the formula in the second record?
Answer: InSn4Pb4